[1]
An optimized crystal structure of MgNiAuSe. Source: Alexandria, functional PBE.

The structure in POSCAR format:
```
MgNiAuSe
1.0
3.128 0.000 0.000
0.000 3.814 0.000
0.000 0.000 12.404
Mg Ni Au Se
2 2 2 2
Direct
0.000 0.000 0.000
0.500 0.500 0.500
0.000 0.000 0.786
0.500 0.500 0.286
0.000 0.000 0.376
0.500 0.500 0.876
0.000 0.500 0.149
0.500 0.000 0.649
```

Summary:
Its symmetry is Imm2 (44). The calculation puts the spin magnetization at 0.000 μB/f.u. Its raw total energy is -30.801 eV per cell. As for the density of states at the Fermi level: 0.5634 states/eV per atom.


[2]
An optimized crystal structure of FeHgRh2. Source: Alexandria, functional PBE.

The structure in POSCAR format:
```
FeHgRh2
1.0
7.055 0.000 0.000
0.000 7.055 0.000
0.000 0.000 5.402
Fe Hg Rh
4 4 8
Direct
0.000 0.000 0.000
0.000 0.500 0.250
0.500 0.000 0.750
0.500 0.500 0.500
0.000 0.000 0.500
0.000 0.500 0.750
0.500 0.000 0.250
0.500 0.500 0.000
0.207 0.250 0.125
0.250 0.707 0.375
0.250 0.793 0.875
0.293 0.250 0.625
0.707 0.750 0.625
0.750 0.207 0.875
0.750 0.293 0.375
0.793 0.750 0.125
```

Summary:
Its symmetry is I-42d (122). The calculation puts the spin magnetization at 4.006 μB/f.u. Its raw total energy is -87.138 eV per cell. The formation energy is 0.42 eV per atom. As for the density of states at the Fermi level: 0.4983 states/eV per atom.


[3]
An optimized crystal structure of Cs2OsPb. Source: Alexandria, functional PBE.

The structure in POSCAR format:
```
Cs2OsPb
1.0
13.087 0.000 0.000
0.000 13.087 0.000
0.000 0.000 5.247
Cs Os Pb
8 4 4
Direct
0.076 0.250 0.125
0.250 0.576 0.375
0.250 0.924 0.875
0.424 0.250 0.625
0.576 0.750 0.625
0.750 0.076 0.875
0.750 0.424 0.375
0.924 0.750 0.125
0.000 0.000 0.000
0.000 0.500 0.250
0.500 0.000 0.750
0.500 0.500 0.500
0.000 0.000 0.500
0.000 0.500 0.750
0.500 0.000 0.250
0.500 0.500 0.000
```

Summary:
Its symmetry is I-42d (122). The calculation puts the spin magnetization at 1.110 μB/f.u. Its raw total energy is -53.025 eV per cell. The formation energy is 0.85 eV per atom. As for the density of states at the Fermi level: 0.8837 states/eV per atom.


[4]
An optimized crystal structure of In2GaRhBr. Source: Alexandria, functional PBE.

The structure in POSCAR format:
```
In2GaRhBr
1.0
5.243 0.000 0.000
0.000 5.243 0.000
0.000 0.000 4.811
In Ga Rh Br
2 1 1 1
Direct
0.000 0.500 0.000
0.500 0.000 0.000
0.000 0.000 0.500
0.000 0.000 0.000
0.500 0.500 0.500
```

Summary:
Its symmetry is P4/mmm (123). The calculation puts the spin magnetization at 0.000 μB/f.u. Its raw total energy is -19.834 eV per cell. As for the density of states at the Fermi level: 0.2471 states/eV per atom.


[5]
An optimized crystal structure of LiPtI. Source: Alexandria, functional PBE.

The structure in POSCAR format:
```
LiPtI
1.0
8.564 0.000 0.000
0.000 4.496 0.000
0.000 0.000 7.315
Li Pt I
4 4 4
Direct
0.118 0.250 0.099
0.382 0.750 0.599
0.618 0.250 0.401
0.882 0.750 0.901
0.190 0.750 0.887
0.310 0.250 0.387
0.690 0.750 0.613
0.810 0.250 0.113
0.144 0.250 0.695
0.356 0.750 0.195
0.644 0.250 0.805
0.856 0.750 0.305
```

Summary:
Its symmetry is Pnma (62). The calculation puts the spin magnetization at 0.000 μB/f.u. Its raw total energy is -41.515 eV per cell. As for the density of states at the Fermi level: 0.0302 states/eV per atom.


[6]
An optimized crystal structure of Ba2SrLiAu. Source: Alexandria, functional PBE.

The structure in POSCAR format:
```
Ba2SrLiAu
1.0
6.502 0.000 0.000
0.000 6.502 0.000
0.000 0.000 5.346
Ba Sr Li Au
2 1 1 1
Direct
0.000 0.500 0.000
0.500 0.000 0.000
0.000 0.000 0.500
0.500 0.500 0.500
0.500 0.500 0.000
```

Summary:
Its symmetry is P4/mmm (123). The calculation puts the spin magnetization at 0.000 μB/f.u. Its raw total energy is -11.840 eV per cell. The formation energy is -0.22 eV per atom. As for the density of states at the Fermi level: 0.9826 states/eV per atom.